A plane-wave DFT calculation with PBE-GGA was carried out for crystalline Cu2Sn2Se at its relaxed geometry.

```
Cu2Sn2Se
1.0
-6.6301 2.1865 0.8049
-2.3158 -5.9165 -3.0032
-0.1478 -1.7833 3.6273
Cu Sn Se
4 4 2
direct
0.3744 0.8744 0.0000
0.8744 0.6256 0.0000
0.6256 0.1256 0.0000
0.1256 0.3744 0.0000
0.1664 0.6664 0.5000
0.6664 0.8336 0.5000
0.8336 0.3336 0.5000
0.3336 0.1664 0.5000
0.0000 0.0000 0.0000
0.5000 0.5000 0.0000
```

Calculated values
The value obtained for the magnetization is 0.0 μB per cell. As for the excess energy over the best structure of this formula in the dataset: 0.000 eV/f.u. For the calculated total energy, the calculation gives -38.67 eV per cell.